Density functional theory data (PBEsol) for a relaxed structure of LiInNi3.

POSCAR file:
```
LiInNi3
1.0
3.9527 0.0000 0.0000
0.0000 3.9527 0.0000
0.0000 0.0000 3.9527
Li In Ni
1 1 3
Cartesian
0.0000 0.0000 0.0000 Li
1.9763 1.9763 1.9763 In
0.0000 0.0000 1.9763 Ni
0.0000 1.9763 0.0000 Ni
1.9763 0.0000 0.0000 Ni
```

Computed properties:
DFT formation energy (meV/atom): 457
Fermi-level density of states (states/eV per atom): 0.3027
Total magnetization (Bohr magnetons per cell): 0.00
Uncorrected energy (eV per cell): -21.14